<one>
Below is a crystal of SrNi2Br relaxed with PBEsol, with properties calculated at the meta-GGA SCAN level.

Results
Size of the total moment (μB per formula unit): 1.06
D(E_F) (states/eV per cell): 6.170
Space-group type: No. 123

a = 3.9334 Å, b = 3.9334 Å, c = 5.8257 Å
α = 90.00°, β = 90.00°, γ = 90.00°
Last column: magnetic moment on the atom in μB.
Positions (direct):
Ni (0.0000, 0.0000, 0.1907)  0.63
Ni (0.0000, 0.0000, 0.8093)  0.63
Sr (0.5000, 0.5000, 0.0000)  -0.05
Br (0.5000, 0.5000, 0.5000)  0.01


<two>
Below is a crystal of SrNi2Br relaxed with PBEsol, with properties calculated at the meta-GGA SCAN level.

Results
Size of the total moment (μB per formula unit): 1.05
D(E_F) (states/eV per cell): 1.781
Space-group type: No. 12

a = 3.7556 Å, b = 5.1414 Å, c = 5.6112 Å
α = 108.49°, β = 109.55°, γ = 90.00°
Last column: magnetic moment on the atom in μB.
Positions (direct):
Ni (0.7046, 0.8867, 0.4092)  0.65
Br (0.5000, 0.5000, 0.0000)  0.02
Ni (0.2954, 0.1133, 0.5908)  0.65
Sr (0.0000, 0.0000, 0.0000)  -0.04


Tell me which of them is the most stable. Sure, it is <two>.


<one>
Below is a crystal of SrNi2Br relaxed with PBEsol, with properties calculated at the meta-GGA SCAN level.

Results
Size of the total moment (μB per formula unit): 0.67
D(E_F) (states/eV per cell): 2.970
Space-group type: No. 139

a = 3.9914 Å, b = 3.9914 Å, c = 5.6010 Å
α = 110.87°, β = 110.87°, γ = 90.00°
Last column: magnetic moment on the atom in μB.
Positions (direct):
Ni (0.7500, 0.2500, 0.5000)  0.41
Ni (0.2500, 0.7500, 0.5000)  0.41
Br (0.0000, 0.0000, 0.0000)  0.02
Sr (0.5000, 0.5000, 0.0000)  -0.03


<two>
Below is a crystal of SrNi2Br relaxed with PBEsol, with properties calculated at the meta-GGA SCAN level.

Results
Size of the total moment (μB per formula unit): 0.00
D(E_F) (states/eV per cell): 0.989
Space-group type: No. 225

a = 4.6775 Å, b = 4.6775 Å, c = 4.6775 Å
α = 60.00°, β = 60.00°, γ = 60.00°
Positions (direct):
Br (0.0000, 0.0000, 0.0000)
Ni (0.7500, 0.7500, 0.7500)
Sr (0.5000, 0.5000, 0.5000)
Ni (0.2500, 0.2500, 0.2500)


<three>
Below is a crystal of SrNi2Br relaxed with PBEsol, with properties calculated at the meta-GGA SCAN level.

Results
Size of the total moment (μB per formula unit): 0.00
D(E_F) (states/eV per cell): 2.784
Space-group type: No. 47

a = 4.0725 Å, b = 4.1312 Å, c = 4.8470 Å
α = 90.00°, β = 90.00°, γ = 90.00°
Positions (direct):
Sr (0.5000, 0.0000, 0.0000)
Ni (0.0000, 0.5000, 0.2413)
Br (0.5000, 0.5000, 0.5000)
Ni (0.0000, 0.5000, 0.7587)


Tell me which of them is the most stable. Sure, it is <three>.